# 1
Density functional theory data (PBE) for a relaxed CdCuW2 crystal.

Lattice parameters (Å, degrees): 4.5209 4.5209 4.5209 60.00 60.00 60.00
Closest atoms and distances in Å follow each position.
Sites, in units of the cell vectors:
Cd (0.0000, 0.0000, 0.0000)  4 Cu 2.77, 4 W 2.77
Cu (0.7500, 0.7500, 0.7500)  4 Cd 2.77, 4 W 2.77
W (0.2500, 0.2500, 0.2500)  4 Cd 2.77, 4 W 2.77
W (0.5000, 0.5000, 0.5000)  4 Cu 2.77, 4 W 2.77

Values from the calculation:
DFT total energy = -28.20 eV/f.u.
DOS at the Fermi energy = 2.61 states/eV/f.u.
Energy relative to the elements = 2.7 eV/f.u.


# 2
Density functional theory data (PBE) for a relaxed Cd2CuW crystal.

Lattice parameters (Å, degrees): 2.7640 4.6007 5.5150 90.00 100.46 90.00
Closest atoms and distances in Å follow each position.
Sites, in units of the cell vectors:
Cd (0.1644, 0.0000, 0.2555)  2 Cu 2.75, 5 Cd 2.76-3.00, 2 W 2.93
Cd (0.8356, 0.0000, 0.7445)  2 Cu 2.75, 5 Cd 2.76-3.00, 2 W 2.93
Cu (0.0000, 0.5000, 0.5000)  4 Cd 2.75, 2 Cu 2.76, 2 W 2.85
W (0.5000, 0.5000, 0.0000)  2 W 2.76, 2 Cu 2.85, 4 Cd 2.93

Values from the calculation:
Relative energy among the computed polymorphs = 228 meV/atom
DFT total energy = -16.61 eV/f.u.
DOS at the Fermi energy = 2.18 states/eV/f.u.
Energy relative to the elements = 2.3 eV/f.u.


# 3
Density functional theory data (PBE) for a relaxed CdCuW2 crystal.

Lattice parameters (Å, degrees): 3.7947 3.7947 4.4499 90.00 90.00 90.00
Closest atoms and distances in Å follow each position.
Sites, in units of the cell vectors:
Cd (0.0000, 0.0000, 0.0000)  4 Cu 2.68, 8 W 2.92
Cu (0.5000, 0.5000, 0.0000)  4 Cd 2.68, 8 W 2.92
W (0.0000, 0.5000, 0.5000)  4 W 2.68, 4 Cu 2.92, 4 Cd 2.92
W (0.5000, 0.0000, 0.5000)  4 W 2.68, 4 Cu 2.92, 4 Cd 2.92

Values from the calculation:
DFT total energy = -28.82 eV/f.u.
DOS at the Fermi energy = 1.04 states/eV/f.u.
Energy relative to the elements = 2.1 eV/f.u.


What did the first record say?
Density functional theory data (PBE) for a relaxed CdCuW2 crystal.

Lattice parameters (Å, degrees): 4.5209 4.5209 4.5209 60.00 60.00 60.00
Closest atoms and distances in Å follow each position.
Sites, in units of the cell vectors:
Cd (0.0000, 0.0000, 0.0000)  4 Cu 2.77, 4 W 2.77
Cu (0.7500, 0.7500, 0.7500)  4 Cd 2.77, 4 W 2.77
W (0.2500, 0.2500, 0.2500)  4 Cd 2.77, 4 W 2.77
W (0.5000, 0.5000, 0.5000)  4 Cu 2.77, 4 W 2.77

Values from the calculation:
DFT total energy = -28.20 eV/f.u.
DOS at the Fermi energy = 2.61 states/eV/f.u.
Energy relative to the elements = 2.7 eV/f.u.